1.
Computed, not measured: a PBEsol-optimized structure of ZrSI2O at the SCAN level of DFT.

Results
The excess energy over the best structure of this formula in the dataset is 579 meV per atom.

Cell: 5.7277 5.7277 4.7958 Å, 90.00 90.00 90.00°
Last column: nearest neighbours and their distance in Å.
Fractional positions:
Zr 0.0000 0.0000 0.0000  2 S 2.40
S 0.0000 0.0000 0.5000  2 Zr 2.40
I 0.0000 0.5000 0.0000  2 Zr 2.86
I 0.5000 0.0000 0.0000  2 Zr 2.86
O 0.5000 0.5000 0.5000  8 I 3.74, 4 S 4.05

---

2.
Computed, not measured: a PBEsol-optimized structure of CdInAg2 at the SCAN level of DFT.

Results
For the formation energy from the elements, the calculation gives 0.5 kcal/mol of atoms.

Cell: 3.0101 3.0101 8.4074 Å, 90.00 90.00 90.00°
Last column: nearest neighbours and their distance in Å.
Fractional positions:
Cd 0.0000 0.0000 0.0000  4 Ag 2.92, 4 Cd 3.01, 4 In 3.20
In 0.5000 0.5000 0.2849  4 Ag 2.99, 4 In 3.01, 4 Cd 3.20
Ag 0.0000 0.0000 0.5342  8 Ag 2.86-3.01, 4 In 2.99
Ag 0.5000 0.5000 0.7623  8 Ag 2.86-3.01, 4 Cd 2.92

---

3.
Computed, not measured: a PBEsol-optimized structure of Rb2ZrAsOs at the SCAN level of DFT.

Results
For the formation energy from the elements, the calculation gives 37.1 kcal/mol of atoms.

Cell: 6.6013 6.6013 5.0359 Å, 90.00 90.00 90.00°
Last column: nearest neighbours and their distance in Å.
Fractional positions:
Rb 0.0000 0.5000 0.0000  2 Zr 3.30
Rb 0.5000 0.0000 0.0000  2 Zr 3.30
Zr 0.0000 0.0000 0.0000  2 As 2.52
As 0.0000 0.0000 0.5000  2 Zr 2.52
Os 0.5000 0.5000 0.5000  8 Rb 4.15

---

4.
Computed, not measured: a PBEsol-optimized structure of CaZn2Cu at the SCAN level of DFT.

Results
For the formation energy from the elements, the calculation gives 4.8 kcal/mol of atoms.

Cell: 5.3942 5.3942 2.9046 Å, 98.76 98.76 119.20°
Last column: nearest neighbours and their distance in Å.
Fractional positions:
Ca 0.0000 0.0000 0.0000  2 Cu 2.73, 4 Zn 2.86, 2 Ca 2.90
Zn 0.0000 0.5000 0.5000  4 Zn 2.73-2.90, 2 Cu 2.86, 2 Ca 2.86
Zn 0.5000 0.0000 0.5000  4 Zn 2.73-2.90, 2 Cu 2.86, 2 Ca 2.86
Cu 0.5000 0.5000 0.0000  2 Ca 2.73, 4 Zn 2.86, 2 Cu 2.90

---

no.,spin magnetization (μB per cell),calculated total energy (eV per cell)
1,2.00,-121.440
2,0.00,-126.445
3,4.98,-156.199
4,0.00,-51.068